(1)
AlTlAg2 | PBE | optimized geometry

Properties
* uncorrected energy: -10.99 eV for the cell shown
* crystal system: cubic
* calculated volume: 20.475 A^3/atom
* excess energy over the best structure of this formula in the dataset: 0.58 eV per formula unit
* density of states at the Fermi level: 1.58 states/eV/f.u.
* energy of formation from the pure elements: 0.8 eV/f.u.

Lattice parameters (Å, degrees): 4.8746 4.8746 4.8746 60.00 60.00 60.00
With the nearest neighbours (Å) after each atom.
Fractional coordinates of all 4 atoms:
Ag1 0.7500 0.7500 0.7500  4 Tl 2.99, 4 Al 2.99
Tl1 0.5000 0.5000 0.5000  8 Ag 2.99
Ag2 0.2500 0.2500 0.2500  4 Tl 2.99, 4 Al 2.99
Al1 0.0000 0.0000 0.0000  8 Ag 2.99

***

(2)
AlTlAg2 | PBE | optimized geometry

Properties
* uncorrected energy: -11.30 eV for the cell shown
* crystal system: trigonal
* calculated volume: 20.521 A^3/atom
* excess energy over the best structure of this formula in the dataset: 0.27 eV per formula unit
* density of states at the Fermi level: 2.68 states/eV/f.u.
* energy of formation from the pure elements: 0.5 eV/f.u.

Lattice parameters (Å, degrees): 9.1846 9.1846 9.1846 20.36 20.36 20.36
With the nearest neighbours (Å) after each atom.
Fractional coordinates of all 4 atoms:
Tl1 0.7500 0.7500 0.7500  6 Ag 3.14, 6 Tl 3.25
Ag1 0.5099 0.5099 0.5099  3 Al 2.73
Al1 0.2500 0.2500 0.2500  6 Ag 2.73
Ag2 0.9901 0.9901 0.9901  3 Al 2.73